1.
DFT (PBE) results for a relaxed V3ReC crystal.

Calculated values
space group	Pm-3m
crystal system	cubic
calculated formation energy	11.8	eV per formula unit
E above lowest polymorph	2473.2	meV per atom
DOS(E_F)	0.86	states/eV per atom

Cell and atoms, written as extended XYZ:
```
5
Lattice="4.551 0.000 0.000 0.000 4.551 0.000 0.000 0.000 4.551" Properties=species:S:1:pos:R:3 pbc="T T T"
V 0.000 0.000 2.276
V 0.000 2.276 0.000
V 2.276 0.000 0.000
Re 0.000 0.000 0.000
C 2.276 2.276 2.276
```

2.
DFT (PBE) results for a relaxed PrScAl2 crystal.

Calculated values
space group	R-3m
crystal system	trigonal
calculated formation energy	-0.4	eV per formula unit
E above lowest polymorph	296.0	meV per atom
DOS(E_F)	0.87	states/eV per atom

Cell and atoms, written as extended XYZ:
```
4
Lattice="1.724 0.995 9.470 -1.724 0.995 9.470 0.000 -1.991 9.470" Properties=species:S:1:pos:R:3 pbc="T T T"
Pr 0.000 0.000 0.000
Sc 0.000 0.000 14.205
Al 0.000 0.000 6.917
Al 0.000 0.000 21.493
```

3.
DFT (PBE) results for a relaxed RbCdBrCl2 crystal.

Calculated values
space group	P4/mmm
crystal system	tetragonal
formation energy from raw total energies	-1.35	eV per atom
E above lowest polymorph	0.0	meV per atom

Cell and atoms, written as extended XYZ:
```
5
Lattice="5.283 0.000 0.000 0.000 5.283 0.000 0.000 0.000 5.568" Properties=species:S:1:pos:R:3 pbc="T T T"
Rb 0.000 0.000 0.000
Cd 2.641 2.641 2.784
Br 2.641 2.641 0.000
Cl 0.000 2.641 2.784
Cl 2.641 0.000 2.784
```

4.
DFT (PBE) results for a relaxed MnPICl2 crystal.

Calculated values
space group	P4/mmm
crystal system	tetragonal
formation energy from raw total energies	0.86	eV per atom
E above lowest polymorph	667.4	meV per atom
DOS(E_F)	0.53	states/eV per atom

Cell and atoms, written as extended XYZ:
```
5
Lattice="5.405 0.000 0.000 0.000 5.405 0.000 0.000 0.000 5.348" Properties=species:S:1:pos:R:3 pbc="T T T"
Mn 0.000 0.000 0.000
P 2.702 2.702 0.000
I 2.702 2.702 2.674
Cl 0.000 2.702 2.674
Cl 2.702 0.000 2.674
```

Per-record E, eV per atom: -7.44, -4.74, -2.80, -3.10
Per-record ρ, g cm⁻³: 6.18, 4.08, 3.73, 3.02